(1)
# PBE-GGA TmBi2Te4, relaxed
data_TmBi2Te4
_chemical_formula_sum 'Tm4 Bi8 Te16'
_space_group_name_H-M_alt 'C m c m'
_space_group_IT_number 63
_space_group_name_Hall '-C 2c 2'
_cell_length_a 4.142
_cell_length_b 15.764
_cell_length_c 14.774
_cell_angle_alpha 90.00
_cell_angle_beta 90.00
_cell_angle_gamma 90.00
loop_
_atom_site_label
_atom_site_fract_x
_atom_site_fract_y
_atom_site_fract_z
_atom_site_occupancy
Tm1 0.000 0.115 0.250 1
Bi1 0.000 0.366 0.073 1
Te1 0.000 0.000 0.000 1
Te2 0.000 0.295 0.624 1
Te3 0.000 0.474 0.250 1
# **DFT total energy**: -0.2955 Ry per atom

(2)
# PBE-GGA HgIr2W, relaxed
data_HgIr2W
_chemical_formula_sum 'Hg1 Ir2 W1'
_space_group_name_H-M_alt 'P 4 m m'
_space_group_IT_number 99
_cell_length_a 2.838
_cell_length_b 2.838
_cell_length_c 8.120
_cell_angle_alpha 90.00
_cell_angle_beta 90.00
_cell_angle_gamma 90.00
loop_
_space_group_symop_operation_xyz
'x,y,z'
'-y,x,z'
'-x,-y,z'
'y,-x,z'
'-x,y,z'
'y,x,z'
'x,-y,z'
'-y,-x,z'
loop_
_atom_site_label
_atom_site_fract_x
_atom_site_fract_y
_atom_site_fract_z
_atom_site_occupancy
Hg1 0.000 0.000 0.000 1
Ir1 0.000 0.000 0.502 1
Ir2 0.500 0.500 0.261 1
W1 0.500 0.500 0.721 1
# **Energy of formation from the pure elements**: 0.351 eV/atom

(3)
# PBE-GGA DyCo3P3, relaxed
data_DyCo3P3
_chemical_formula_sum 'Dy6 Co18 P18'
_space_group_name_H-M_alt 'R -3'
_space_group_IT_number 148
_space_group_name_Hall '-R 3'
_cell_length_a 6.3514
_cell_length_b 6.3514
_cell_length_c 19.1176
_cell_angle_alpha 90.00
_cell_angle_beta 90.00
_cell_angle_gamma 120.00
loop_
_atom_site_label
_atom_site_fract_x
_atom_site_fract_y
_atom_site_fract_z
_atom_site_occupancy
Dy1 0.0000 0.0000 0.1668 1
Co1 0.0047 0.6577 0.3763 1
P1 0.0038 0.6871 0.5945 1
# **Energy of formation from the pure elements**: -0.755 eV/atom

(4)
# PBE-GGA BaLi2CdIn4, relaxed
data_BaLi2CdIn4
_chemical_formula_sum 'Ba3 Li6 Cd3 In12'
_space_group_name_H-M_alt 'R -3 m'
_space_group_IT_number 166
_space_group_name_Hall '-R 3 2"'
_cell_length_a 4.8429
_cell_length_b 4.8429
_cell_length_c 31.9895
_cell_angle_alpha 90.00
_cell_angle_beta 90.00
_cell_angle_gamma 120.00
loop_
_atom_site_label
_atom_site_fract_x
_atom_site_fract_y
_atom_site_fract_z
_atom_site_occupancy
Ba1 0.0000 0.0000 0.0000 1
Li1 0.0000 0.0000 0.2148 1
Cd1 0.0000 0.0000 0.5000 1
In1 0.0000 0.0000 0.1159 1
In2 0.0000 0.0000 0.4055 1
# **Energy of formation from the pure elements**: -0.276 eV/atom

(5)
# PBE-GGA HfAgBiMo2, relaxed
data_HfAgBiMo2
_chemical_formula_sum 'Hf1 Ag1 Bi1 Mo2'
_space_group_name_H-M_alt 'P 4/m m m'
_space_group_IT_number 123
_space_group_name_Hall '-P 4 2'
_cell_length_a 5.026
_cell_length_b 5.026
_cell_length_c 5.321
_cell_angle_alpha 90.00
_cell_angle_beta 90.00
_cell_angle_gamma 90.00
loop_
_atom_site_label
_atom_site_fract_x
_atom_site_fract_y
_atom_site_fract_z
_atom_site_occupancy
Hf1 0.000 0.000 0.000 1
Ag1 0.500 0.500 0.000 1
Bi1 0.000 0.000 0.500 1
Mo1 0.000 0.500 0.500 1
# **Energy of formation from the pure elements**: 2.099 eV/atom

(6)
# PBE-GGA Ag2Pd3Au6, relaxed
data_Ag2Pd3Au6
_chemical_formula_sum 'Ag2 Pd3 Au6'
_space_group_name_H-M_alt 'P -1'
_space_group_IT_number 2
_cell_length_a 4.109
_cell_length_b 4.999
_cell_length_c 10.448
_cell_angle_alpha 76.18
_cell_angle_beta 78.68
_cell_angle_gamma 65.92
loop_
_space_group_symop_operation_xyz
'x,y,z'
'-x,-y,-z'
loop_
_atom_site_label
_atom_site_fract_x
_atom_site_fract_y
_atom_site_fract_z
_atom_site_occupancy
Ag1 0.181 0.411 0.226 1
Pd1 0.000 0.500 0.500 1
Pd2 0.091 0.953 0.865 1
Au1 0.272 0.863 0.592 1
Au2 0.365 0.315 0.955 1
Au3 0.454 0.774 0.317 1
# **Relative energy among the computed polymorphs**: 0.000 eV per atom
# **Energy of formation from the pure elements**: -0.087 eV/atom

(7)
# PBE-GGA ScZnAg2, relaxed
data_ScZnAg2
_chemical_formula_sum 'Sc1 Zn1 Ag2'
_space_group_name_H-M_alt 'P 1 2/m 1'
_space_group_IT_number 10
_cell_length_a 3.043
_cell_length_b 4.439
_cell_length_c 5.608
_cell_angle_alpha 90.00
_cell_angle_beta 100.28
_cell_angle_gamma 90.00
loop_
_space_group_symop_operation_xyz
'x,y,z'
'-x,-y,-z'
'-x,y,-z'
'x,-y,z'
loop_
_atom_site_label
_atom_site_fract_x
_atom_site_fract_y
_atom_site_fract_z
_atom_site_occupancy
Sc1 0.000 0.000 0.000 1
Zn1 0.500 0.000 0.500 1
Ag1 0.365 0.500 0.741 1
# **Energy of formation from the pure elements**: -0.118 eV/atom

(8)
# PBE-GGA Y3HgN, relaxed
data_Y3HgN
_chemical_formula_sum 'Y12 Hg4 N4'
_space_group_name_H-M_alt 'C 1 2/m 1'
_space_group_IT_number 12
_cell_length_a 15.869
_cell_length_b 3.793
_cell_length_c 8.411
_cell_angle_alpha 90.00
_cell_angle_beta 91.27
_cell_angle_gamma 90.00
loop_
_space_group_symop_operation_xyz
'x,y,z'
'-x,-y,-z'
'-x,y,-z'
'x,-y,z'
'x+1/2,y+1/2,z'
'-x+1/2,-y+1/2,-z'
'-x+1/2,y+1/2,-z'
'x+1/2,-y+1/2,z'
loop_
_atom_site_label
_atom_site_fract_x
_atom_site_fract_y
_atom_site_fract_z
_atom_site_occupancy
Y1 0.020 0.000 0.289 1
Y2 0.164 0.500 0.536 1
Y3 0.202 0.000 0.138 1
Hg1 0.097 0.500 0.915 1
N1 0.187 0.000 0.394 1
# **DFT total energy**: -0.4594 Ry per atom

(9)
# PBE-GGA NaBeZn3, relaxed
data_NaBeZn3
_chemical_formula_sum 'Na1 Be1 Zn3'
_space_group_name_H-M_alt 'P m -3 m'
_space_group_IT_number 221
_space_group_name_Hall '-P 4 2 3'
_cell_length_a 4.424
_cell_length_b 4.424
_cell_length_c 4.424
_cell_angle_alpha 90.00
_cell_angle_beta 90.00
_cell_angle_gamma 90.00
loop_
_atom_site_label
_atom_site_fract_x
_atom_site_fract_y
_atom_site_fract_z
_atom_site_occupancy
Na1 0.000 0.000 0.000 1
Be1 0.500 0.500 0.500 1
Zn1 0.000 0.500 0.500 1
# **Relative energy among the computed polymorphs**: 0.000 eV per atom
# **Energy of formation from the pure elements**: 0.156 eV/atom

(10)
# PBE-GGA BaNbIr2, relaxed
data_BaNbIr2
_chemical_formula_sum 'Ba4 Nb4 Ir8'
_space_group_name_H-M_alt 'I -4 2 d'
_space_group_IT_number 122
_space_group_name_Hall 'I -4 2bw'
_cell_length_a 7.587
_cell_length_b 7.587
_cell_length_c 7.041
_cell_angle_alpha 90.00
_cell_angle_beta 90.00
_cell_angle_gamma 90.00
loop_
_atom_site_label
_atom_site_fract_x
_atom_site_fract_y
_atom_site_fract_z
_atom_site_occupancy
Ba1 0.000 0.000 0.000 1
Nb1 0.000 0.000 0.500 1
Ir1 0.176 0.250 0.625 1
# **Relative energy among the computed polymorphs**: 0.000 eV per atom
# **Energy of formation from the pure elements**: 0.346 eV/atom

(11)
# PBE-GGA SrAgCl2, relaxed
data_SrAgCl2
_chemical_formula_sum 'Sr1 Ag1 Cl2'
_space_group_name_H-M_alt 'P 4 m m'
_space_group_IT_number 99
_cell_length_a 4.270
_cell_length_b 4.270
_cell_length_c 5.842
_cell_angle_alpha 90.00
_cell_angle_beta 90.00
_cell_angle_gamma 90.00
loop_
_space_group_symop_operation_xyz
'x,y,z'
'-y,x,z'
'-x,-y,z'
'y,-x,z'
'-x,y,z'
'y,x,z'
'x,-y,z'
'-y,-x,z'
loop_
_atom_site_label
_atom_site_fract_x
_atom_site_fract_y
_atom_site_fract_z
_atom_site_occupancy
Sr1 0.000 0.000 0.000 1
Ag1 0.500 0.500 0.360 1
Cl1 0.000 0.000 0.498 1
Cl2 0.500 0.500 0.849 1
# **Relative energy among the computed polymorphs**: 0.136 eV per atom

(12)
# PBE-GGA CaNiS3, relaxed
data_CaNiS3
_chemical_formula_sum 'Ca1 Ni1 S3'
_space_group_name_H-M_alt 'P m -3 m'
_space_group_IT_number 221
_space_group_name_Hall '-P 4 2 3'
_cell_length_a 4.544
_cell_length_b 4.544
_cell_length_c 4.544
_cell_angle_alpha 90.00
_cell_angle_beta 90.00
_cell_angle_gamma 90.00
loop_
_atom_site_label
_atom_site_fract_x
_atom_site_fract_y
_atom_site_fract_z
_atom_site_occupancy
Ca1 0.000 0.000 0.000 1
Ni1 0.500 0.500 0.500 1
S1 0.000 0.500 0.500 1
# **Relative energy among the computed polymorphs**: 0.000 eV per atom

(13)
# PBE-GGA Ac3US7, relaxed
data_Ac3US7
_chemical_formula_sum 'Ac12 U4 S28'
_space_group_name_H-M_alt 'C m c m'
_space_group_IT_number 63
_space_group_name_Hall '-C 2c 2'
_cell_length_a 9.523
_cell_length_b 13.705
_cell_length_c 9.850
_cell_angle_alpha 90.00
_cell_angle_beta 90.00
_cell_angle_gamma 90.00
loop_
_atom_site_label
_atom_site_fract_x
_atom_site_fract_y
_atom_site_fract_z
_atom_site_occupancy
Ac1 0.000 0.000 0.000 1
Ac2 0.229 0.273 0.250 1
U1 0.000 0.500 0.000 1
S1 0.000 0.128 0.750 1
S2 0.000 0.133 0.250 1
S3 0.000 0.430 0.250 1
S4 0.205 0.376 0.528 1
# **DFT total energy**: -0.4915 Ry per atom

(14)
# PBE-GGA Re3GeMo, relaxed
data_Re3GeMo
_chemical_formula_sum 'Re3 Ge1 Mo1'
_space_group_name_H-M_alt 'P m -3 m'
_space_group_IT_number 221
_space_group_name_Hall '-P 4 2 3'
_cell_length_a 4.472
_cell_length_b 4.472
_cell_length_c 4.472
_cell_angle_alpha 90.00
_cell_angle_beta 90.00
_cell_angle_gamma 90.00
loop_
_atom_site_label
_atom_site_fract_x
_atom_site_fract_y
_atom_site_fract_z
_atom_site_occupancy
Re1 0.000 0.000 0.500 1
Ge1 0.000 0.000 0.000 1
Mo1 0.500 0.500 0.500 1
# **Relative energy among the computed polymorphs**: 0.000 eV per atom
# **Energy of formation from the pure elements**: 1.722 eV/atom

(15)
# PBE-GGA PaCdCu2O8, relaxed
data_PaCdCu2O8
_chemical_formula_sum 'Pa2 Cd2 Cu4 O16'
_space_group_name_H-M_alt 'I -4 m 2'
_space_group_IT_number 119
_space_group_name_Hall 'I -4 -2'
_cell_length_a 6.989
_cell_length_b 6.989
_cell_length_c 6.655
_cell_angle_alpha 90.00
_cell_angle_beta 90.00
_cell_angle_gamma 90.00
loop_
_atom_site_label
_atom_site_fract_x
_atom_site_fract_y
_atom_site_fract_z
_atom_site_occupancy
Pa1 0.000 0.000 0.000 1
Cd1 0.000 0.500 0.750 1
Cu1 0.000 0.000 0.500 1
Cu2 0.000 0.500 0.250 1
O1 0.000 0.170 0.704 1
O2 0.000 0.312 0.055 1
# **DFT total energy**: -0.4337 Ry per atom

(16)
# PBE-GGA CePm8In6, relaxed
data_CePm8In6
_chemical_formula_sum 'Ce3 Pm24 In18'
_space_group_name_H-M_alt 'R -3'
_space_group_IT_number 148
_space_group_name_Hall '-R 3'
_cell_length_a 9.2403
_cell_length_b 9.2403
_cell_length_c 19.8246
_cell_angle_alpha 90.00
_cell_angle_beta 90.00
_cell_angle_gamma 120.00
loop_
_atom_site_label
_atom_site_fract_x
_atom_site_fract_y
_atom_site_fract_z
_atom_site_occupancy
Ce1 0.0000 0.0000 0.0000 1
Pm1 0.0000 0.0000 0.3318 1
Pm2 0.0018 0.3295 0.1151 1
In1 0.9996 0.3360 0.9447 1
# **Energy of formation from the pure elements**: -0.217 eV/atom

(17)
# PBE-GGA ReNiH2Pb, relaxed
data_ReNiH2Pb
_chemical_formula_sum 'Re1 Ni1 H2 Pb1'
_space_group_name_H-M_alt 'P 4/m m m'
_space_group_IT_number 123
_space_group_name_Hall '-P 4 2'
_cell_length_a 3.688
_cell_length_b 3.688
_cell_length_c 5.600
_cell_angle_alpha 90.00
_cell_angle_beta 90.00
_cell_angle_gamma 90.00
loop_
_atom_site_label
_atom_site_fract_x
_atom_site_fract_y
_atom_site_fract_z
_atom_site_occupancy
Re1 0.000 0.000 0.000 1
Ni1 0.500 0.500 0.000 1
H1 0.000 0.500 0.500 1
Pb1 0.500 0.500 0.500 1
# **DFT total energy**: -0.3238 Ry per atom

(18)
# PBE-GGA TaTeAsN2, relaxed
data_TaTeAsN2
_chemical_formula_sum 'Ta1 Te1 As1 N2'
_space_group_name_H-M_alt 'P 4/m m m'
_space_group_IT_number 123
_space_group_name_Hall '-P 4 2'
_cell_length_a 3.954
_cell_length_b 3.954
_cell_length_c 5.273
_cell_angle_alpha 90.00
_cell_angle_beta 90.00
_cell_angle_gamma 90.00
loop_
_atom_site_label
_atom_site_fract_x
_atom_site_fract_y
_atom_site_fract_z
_atom_site_occupancy
Ta1 0.000 0.000 0.000 1
Te1 0.500 0.500 0.000 1
As1 0.500 0.500 0.500 1
N1 0.000 0.500 0.500 1
# **Relative energy among the computed polymorphs**: 1.258 eV per atom

(19)
# PBE-GGA Ti2BeHRu, relaxed
data_Ti2BeHRu
_chemical_formula_sum 'Ti2 Be1 H1 Ru1'
_space_group_name_H-M_alt 'P 4/m m m'
_space_group_IT_number 123
_space_group_name_Hall '-P 4 2'
_cell_length_a 4.199
_cell_length_b 4.199
_cell_length_c 3.223
_cell_angle_alpha 90.00
_cell_angle_beta 90.00
_cell_angle_gamma 90.00
loop_
_atom_site_label
_atom_site_fract_x
_atom_site_fract_y
_atom_site_fract_z
_atom_site_occupancy
Ti1 0.000 0.500 0.000 1
Be1 0.000 0.000 0.500 1
H1 0.000 0.000 0.000 1
Ru1 0.500 0.500 0.500 1
# **DFT total energy**: -0.4973 Ry per atom

(20)
# PBE-GGA Tb5Si2Sn2, relaxed
data_Tb5Si2Sn2
_chemical_formula_sum 'Tb20 Si8 Sn8'
_space_group_name_H-M_alt 'C m c e'
_space_group_IT_number 64
_space_group_name_Hall '-C 2ac 2'
_cell_length_a 15.299
_cell_length_b 7.860
_cell_length_c 7.836
_cell_angle_alpha 90.00
_cell_angle_beta 90.00
_cell_angle_gamma 90.00
loop_
_atom_site_label
_atom_site_fract_x
_atom_site_fract_y
_atom_site_fract_z
_atom_site_occupancy
Tb1 0.000 0.000 0.000 1
Tb2 0.128 0.177 0.324 1
Si1 0.000 0.118 0.620 1
Sn1 0.213 0.000 0.000 1
# **DFT total energy**: -0.3971 Ry per atom